# 1
The following is a DFT calculation (PBE) of crystalline AlZn2Cu2 at its relaxed geometry.

- D(E_F) (states/eV/f.u.) = 1.39
- SG = No. 139
- ΔH_f (0 K) (meV/atom) = 83.8
- E above lowest polymorph (meV per atom) = 122

a = 3.4199 Å, b = 3.4199 Å, c = 6.7811 Å
α = 104.61°, β = 104.61°, γ = 90.00°
Positions (direct):
Zn  0.2500  0.7500  0.5000
Cu  0.4047  0.4047  0.8094
Al  0.0000  0.0000  0.0000
Cu  0.5953  0.5953  0.1906
Zn  0.7500  0.2500  0.5000



# 2
The following is a DFT calculation (PBE) of crystalline PSe2Br at its relaxed geometry.

- D(E_F) (states/eV/f.u.) = 4.08
- raw formation energy (eV per atom) = 0.802
- SG = No. 216
- E above lowest polymorph (meV per atom) = 821

a = 4.8637 Å, b = 4.8637 Å, c = 4.8637 Å
α = 60.00°, β = 60.00°, γ = 60.00°
Positions (direct):
Se  0.7500  0.7500  0.7500
Br  0.5000  0.5000  0.5000
Se  0.0000  0.0000  0.0000
P  0.2500  0.2500  0.2500



# 3
The following is a DFT calculation (PBE) of crystalline TiReN3 at its relaxed geometry.

- D(E_F) (states/eV/f.u.) = 1.51
- raw formation energy (eV per atom) = -0.427
- SG = No. 6

a = 6.4752 Å, b = 2.8334 Å, c = 5.7039 Å
α = 90.00°, β = 113.99°, γ = 90.00°
Positions (direct):
N  0.9798  0.9861  0.6307
N  0.6083  0.9862  0.0994
N  0.3856  0.9861  0.0735
N  0.6388  0.4862  0.5020
Ti  0.2381  0.4861  0.7653
Re  0.8472  0.4861  0.3102
Ti  0.2872  0.4861  0.3037
N  0.9975  0.9862  0.1547
Re  0.7247  0.9861  0.7865
N  0.3692  0.9861  0.6022



# 4
The following is a DFT calculation (PBE) of crystalline AuSeO at its relaxed geometry.

- D(E_F) (states/eV/f.u.) = 1.18
- raw formation energy (eV per atom) = 0.028
- SG = No. 44
- E above lowest polymorph (meV per atom) = 136

a = 3.6682 Å, b = 3.7810 Å, c = 5.4616 Å
α = 110.25°, β = 109.62°, γ = 90.00°
Positions (direct):
O  0.3042  0.3042  0.6085
Se  0.1272  0.1272  0.2543
Au  0.5686  0.5686  0.1372



# 5
The following is a DFT calculation (PBE) of crystalline HfTi4Te8 at its relaxed geometry.

- D(E_F) (states/eV/f.u.) = 8.86
- raw formation energy (eV per atom) = -0.669
- SG = No. 166

a = 7.7761 Å, b = 7.7761 Å, c = 8.0823 Å
α = 90.00°, β = 118.75°, γ = 120.00°
Positions (direct):
Ti  0.5000  0.0000  0.0000
Te  0.4976  0.7488  0.2464
Te  0.4925  0.2463  0.2525
Te  0.0063  0.7600  0.2525
Hf  0.0000  0.5000  0.5000
Ti  0.0000  0.5000  0.0000
Te  0.9937  0.7537  0.7475
Ti  0.0000  0.0000  0.0000
Te  0.5024  0.2512  0.7536
Ti  0.5000  0.5000  0.0000
Te  0.0063  0.2463  0.2525
Te  0.5075  0.7537  0.7475
Te  0.9937  0.2400  0.7475



# 6
The following is a DFT calculation (PBE) of crystalline Dy2Er3Ru2 at its relaxed geometry.

- D(E_F) (states/eV/f.u.) = 5.28
- SG = No. 12
- ΔH_f (0 K) (meV/atom) = -356.1

a = 3.8620 Å, b = 6.2162 Å, c = 8.4574 Å
α = 112.61°, β = 90.00°, γ = 108.10°
Positions (direct):
Er  0.3779  0.7557  0.5718
Dy  0.1641  0.3282  0.8091
Er  0.5000  0.0000  0.0000
Ru  0.1780  0.3561  0.2224
Er  0.6221  0.2443  0.4282
Ru  0.8220  0.6439  0.7776
Dy  0.8359  0.6718  0.1909



Copy entry 5 word for word.
The following is a DFT calculation (PBE) of crystalline HfTi4Te8 at its relaxed geometry.

- D(E_F) (states/eV/f.u.) = 8.86
- raw formation energy (eV per atom) = -0.669
- SG = No. 166

a = 7.7761 Å, b = 7.7761 Å, c = 8.0823 Å
α = 90.00°, β = 118.75°, γ = 120.00°
Positions (direct):
Ti  0.5000  0.0000  0.0000
Te  0.4976  0.7488  0.2464
Te  0.4925  0.2463  0.2525
Te  0.0063  0.7600  0.2525
Hf  0.0000  0.5000  0.5000
Ti  0.0000  0.5000  0.0000
Te  0.9937  0.7537  0.7475
Ti  0.0000  0.0000  0.0000
Te  0.5024  0.2512  0.7536
Ti  0.5000  0.5000  0.0000
Te  0.0063  0.2463  0.2525
Te  0.5075  0.7537  0.7475
Te  0.9937  0.2400  0.7475



Q: Which formula does entry 5 have?
A: HfTi4Te8



Repeat the first record exactly.
The following is a DFT calculation (PBE) of crystalline AlZn2Cu2 at its relaxed geometry.

- D(E_F) (states/eV/f.u.) = 1.39
- SG = No. 139
- ΔH_f (0 K) (meV/atom) = 83.8
- E above lowest polymorph (meV per atom) = 122

a = 3.4199 Å, b = 3.4199 Å, c = 6.7811 Å
α = 104.61°, β = 104.61°, γ = 90.00°
Positions (direct):
Zn  0.2500  0.7500  0.5000
Cu  0.4047  0.4047  0.8094
Al  0.0000  0.0000  0.0000
Cu  0.5953  0.5953  0.1906
Zn  0.7500  0.2500  0.5000